(1)
The following is a PBE-GGA calculation of crystalline LiZn2Si at its relaxed geometry, from Alexandria via LeMat-Bulk.

POSCAR file:
```
LiZn2Si
1.0
-1.202 -2.286 -0.675
1.404 0.099 -2.269
6.247 -4.371 3.676
Li Si Zn
1 1 2
direct
0.500 0.500 0.250
0.500 0.500 0.750
0.000 0.000 0.013
0.000 0.000 0.487
```

Calculated volume ... 15.1 Å³ per atom
E_tot ... -2.42 eV per atom
Energy relative to the elements, uncorrected ... 51 meV per atom
Space-group type ... Cmmm (65)
Total magnetization ... 0.000 μB per formula unit
Crystal system ... orthorhombic

=====

(2)
The following is a PBE-GGA calculation of crystalline Li2Zn2Si at its relaxed geometry, from Alexandria via LeMat-Bulk.

POSCAR file:
```
Li2Zn2Si
1.0
-1.479 1.359 3.415
-4.447 -0.768 0.678
-2.938 -8.617 4.454
Li Zn Si
4 4 2
direct
0.064 0.224 0.649
0.844 0.262 0.051
0.936 0.776 0.351
0.156 0.738 0.949
0.644 0.258 0.455
0.535 0.781 0.150
0.356 0.742 0.545
0.465 0.219 0.850
0.226 0.293 0.255
0.774 0.707 0.745
```

Calculated volume ... 14.4 Å³ per atom
E_tot ... -2.49 eV per atom
Distance to the lowest polymorph of the same formula ... 0 meV per atom
Energy relative to the elements, uncorrected ... -128 meV per atom
Space-group type ... C2/m (12)
Total magnetization ... 0.000 μB per formula unit
Crystal system ... monoclinic

=====

(3)
The following is a PBE-GGA calculation of crystalline LiZnSi at its relaxed geometry, from Alexandria via LeMat-Bulk.

POSCAR file:
```
LiZnSi
1.0
-1.380 -4.127 0.310
3.626 -0.636 4.914
-4.145 -0.832 0.998
Zn Li Si
2 2 2
direct
0.520 0.646 0.341
0.208 0.267 0.316
0.110 0.841 0.144
0.525 0.325 0.686
0.820 0.725 0.729
0.909 0.145 0.903
```

Calculated volume ... 15.4 Å³ per atom
E_tot ... -2.98 eV per atom
Energy relative to the elements, uncorrected ... -106 meV per atom
Space-group type ... P1 (1)
Total magnetization ... 0.000 μB per formula unit
Crystal system ... triclinic

=====

(4)
The following is a PBE-GGA calculation of crystalline LiZn2Si at its relaxed geometry, from Alexandria via LeMat-Bulk.

POSCAR file:
```
LiZn2Si
1.0
3.905 0.000 0.000
0.000 3.903 0.000
0.000 0.000 3.781
Zn Si Li
2 1 1
direct
0.000 0.000 0.000
0.500 0.500 0.000
0.000 0.500 0.500
0.500 0.000 0.500
```

Calculated volume ... 14.4 Å³ per atom
E_tot ... -2.53 eV per atom
Energy relative to the elements, uncorrected ... -58 meV per atom
Space-group type ... P4/mmm (123)
Total magnetization ... 0.000 μB per formula unit
Crystal system ... tetragonal

=====

(5)
The following is a PBE-GGA calculation of crystalline LiZnSi at its relaxed geometry, from Alexandria via LeMat-Bulk.

POSCAR file:
```
LiZnSi
1.0
-1.655 1.758 -1.430
-1.086 -2.303 1.180
-1.163 3.346 5.460
Li Si Zn
1 1 1
direct
0.000 0.000 0.005
0.667 0.333 0.329
0.333 0.667 0.666
```

Calculated volume ... 14.8 Å³ per atom
E_tot ... -2.80 eV per atom
Energy relative to the elements, uncorrected ... 74 meV per atom
Space-group type ... P3m1 (156)
Total magnetization ... 0.000 μB per formula unit
Crystal system ... trigonal

=====

(6)
The following is a PBE-GGA calculation of crystalline Li2Zn2Si at its relaxed geometry, from Alexandria via LeMat-Bulk.

POSCAR file:
```
Li2Zn2Si
1.0
-5.009 3.538 -2.697
-1.221 -4.998 -4.290
-2.132 -1.354 2.184
Zn Si Li
4 2 4
direct
0.151 0.651 0.500
0.651 0.849 0.500
0.849 0.349 0.500
0.349 0.151 0.500
0.000 0.000 0.000
0.500 0.500 0.000
0.355 0.855 0.000
0.855 0.645 0.000
0.645 0.145 0.000
0.145 0.355 0.000
```

Calculated volume ... 15.0 Å³ per atom
E_tot ... -2.28 eV per atom
Distance to the lowest polymorph of the same formula ... 207 meV per atom
Energy relative to the elements, uncorrected ... 80 meV per atom
Space-group type ... P4/mbm (127)
Total magnetization ... 0.000 μB per formula unit
Crystal system ... tetragonal

=====

(7)
The following is a PBE-GGA calculation of crystalline LiZn2Si2 at its relaxed geometry, from Alexandria via LeMat-Bulk.

POSCAR file:
```
LiZn2Si2
1.0
-2.586 1.732 2.600
-0.059 -3.401 2.207
2.691 0.925 5.223
Zn Si Li
2 2 1
direct
0.750 0.250 0.500
0.250 0.750 0.500
0.390 0.390 0.219
0.610 0.610 0.781
0.000 0.000 0.000
```

Calculated volume ... 17.1 Å³ per atom
E_tot ... -3.09 eV per atom
Energy relative to the elements, uncorrected ... -33 meV per atom
Space-group type ... I4/mmm (139)
Total magnetization ... 0.000 μB per formula unit
Crystal system ... tetragonal

=====

(8)
The following is a PBE-GGA calculation of crystalline LiZn2Si at its relaxed geometry, from Alexandria via LeMat-Bulk.

POSCAR file:
```
LiZn2Si
1.0
4.114 0.000 0.000
0.000 2.769 -0.015
0.000 1.247 5.240
Li Si Zn
1 1 2
direct
0.000 0.539 0.529
0.500 0.954 0.727
0.000 0.810 0.010
0.500 0.197 0.234
```

Calculated volume ... 14.9 Å³ per atom
E_tot ... -2.52 eV per atom
Energy relative to the elements, uncorrected ... -45 meV per atom
Space-group type ... Pm (6)
Total magnetization ... 0.000 μB per formula unit
Crystal system ... monoclinic

=====

What did the fourth record say?
The following is a PBE-GGA calculation of crystalline LiZn2Si at its relaxed geometry, from Alexandria via LeMat-Bulk.

POSCAR file:
```
LiZn2Si
1.0
3.905 0.000 0.000
0.000 3.903 0.000
0.000 0.000 3.781
Zn Si Li
2 1 1
direct
0.000 0.000 0.000
0.500 0.500 0.000
0.000 0.500 0.500
0.500 0.000 0.500
```

Calculated volume ... 14.4 Å³ per atom
E_tot ... -2.53 eV per atom
Energy relative to the elements, uncorrected ... -58 meV per atom
Space-group type ... P4/mmm (123)
Total magnetization ... 0.000 μB per formula unit
Crystal system ... tetragonal